Record 1
This record from Alexandria via LeMat-Bulk describes GdNiPb at its PBEsol-relaxed geometry. The functional is SCAN.

The value obtained for the energy relative to the elements is -511 meV/atom. As for the final energy: -50.768 eV per atom. The density of states at the Fermi level is 7.04 states/eV per cell.

The space group is Pnma (No. 62) and the conventional cell measures 7.166, 4.527 and 7.709 Å, with angles of 90.00, 90.00 and 90.00 degrees. The asymmetric unit holds Gd at (0.015, 0.250, 0.200), Ni at (0.209, 0.750, 0.416) and Pb at (0.186, 0.250, 0.587).



Record 2
This record from Alexandria via LeMat-Bulk describes GdSi2Ni2 at its PBEsol-relaxed geometry. The functional is SCAN.

Its raw formation energy is -19.159 kcal/mol of atoms. As for the final energy: -23.070 eV per atom. The density of states at the Fermi level is 6.57 states/eV per cell.

The space group is I4/mmm (No. 139) and the conventional cell measures 3.942, 3.942 and 9.462 Å, with angles of 90.00, 90.00 and 90.00 degrees. The asymmetric unit holds Gd at (0.000, 0.000, 0.000), Si at (0.000, 0.000, 0.372) and Ni at (0.000, 0.500, 0.250).



Record 3
This record from Alexandria via LeMat-Bulk describes RbGdO2 at its PBEsol-relaxed geometry. The functional is SCAN.

Its raw formation energy is -66.427 kcal/mol of atoms. As for the final energy: -25.885 eV per atom. The density of states at the Fermi level is 0.00 states/eV per cell.

The space group is R-3m (No. 166, hexagonal axes) and the conventional cell measures 3.5200, 3.5200 and 19.3781 Å, with angles of 90.00, 90.00 and 120.00 degrees. The asymmetric unit holds Rb at (0.0000, 0.0000, 0.0000), Gd at (0.0000, 0.0000, 0.5000) and O at (0.0000, 0.0000, 0.2262).



Record 4
This record from Alexandria via LeMat-Bulk describes Sr2GdReO6 at its PBEsol-relaxed geometry. The functional is SCAN.

Its raw formation energy is -63.850 kcal/mol of atoms. As for the final energy: -23.954 eV per atom. The density of states at the Fermi level is 14.36 states/eV per cell.

The space group is Fm-3m (No. 225) and the conventional cell measures 8.297, 8.297 and 8.297 Å, with angles of 90.00, 90.00 and 90.00 degrees. The asymmetric unit holds Sr at (0.250, 0.250, 0.250), Gd at (0.000, 0.000, 0.000), Re at (0.000, 0.000, 0.500) and O at (0.000, 0.000, 0.266).



Record 5
This record from Alexandria via LeMat-Bulk describes Gd3RuO7 at its PBEsol-relaxed geometry. The functional is SCAN.

Its raw formation energy is -68.504 kcal/mol of atoms. As for the final energy: -26.143 eV per atom.

The space group is Cmcm (No. 63) and the conventional cell measures 10.553, 7.235 and 7.367 Å, with angles of 90.00, 90.00 and 90.00 degrees. The asymmetric unit holds Gd at (0.000, 0.000, 0.000), Gd at (0.223, 0.302, 0.250), Ru at (0.000, 0.500, 0.000), O at (0.000, 0.412, 0.250), O at (0.128, 0.311, 0.541) and O at (0.132, 0.027, 0.250).



Record 6
This record from Alexandria via LeMat-Bulk describes Gd2SbO2 at its PBEsol-relaxed geometry. The functional is SCAN.

Its raw formation energy is -65.939 kcal/mol of atoms. As for the final energy: -36.330 eV per atom. The density of states at the Fermi level is 1.44 states/eV per cell.

The space group is I4/mmm (No. 139) and the conventional cell measures 3.843, 3.843 and 13.278 Å, with angles of 90.00, 90.00 and 90.00 degrees. The asymmetric unit holds Gd at (0.000, 0.000, 0.163), Sb at (0.000, 0.000, 0.500) and O at (0.000, 0.500, 0.250).



Record 7
This record from Alexandria via LeMat-Bulk describes GdYScSbO7 at its PBEsol-relaxed geometry. The functional is SCAN.

Its raw formation energy is -74.416 kcal/mol of atoms. As for the final energy: -19.752 eV per atom. The density of states at the Fermi level is 0.00 states/eV per cell.

The space group is Imma (No. 74) and the conventional cell measures 7.280, 7.392 and 10.325 Å, with angles of 90.00, 90.00 and 90.00 degrees. The asymmetric unit holds Gd at (0.000, 0.000, 0.000), Y at (0.250, 0.250, 0.250), Sc at (0.250, 0.250, 0.750), Sb at (0.000, 0.000, 0.500), O at (0.000, 0.250, 0.132), O at (0.000, 0.250, 0.426), O at (0.000, 0.250, 0.848) and O at (0.202, 0.029, 0.626).



Record 8
This record from Alexandria via LeMat-Bulk describes Gd2Se2O at its PBEsol-relaxed geometry. The functional is SCAN.

Its raw formation energy is -62.050 kcal/mol of atoms. As for the final energy: -35.495 eV per atom. The density of states at the Fermi level is 0.00 states/eV per cell.

The space group is Pnma (No. 62) and the conventional cell measures 15.979, 3.918 and 6.997 Å, with angles of 90.00, 90.00 and 90.00 degrees. The asymmetric unit holds Gd at (0.039, 0.250, 0.199), Gd at (0.162, 0.250, 0.760), Se at (0.100, 0.750, 0.509), Se at (0.179, 0.750, 0.053) and O at (0.031, 0.250, 0.871).